Entry 1:
DFT (PBE) results for crystalline CuB2Sb at its relaxed geometry.

Uncorrected formation energy   0.693 eV/atom
ρ   6.57 g/cm3
Uncorrected energy   -4.70 eV per atom
Symmetry   No. 122

Lattice parameters (Å, degrees): 3.922 3.922 7.340 74.50 74.50 90.00
Fractional positions:
Cu  0.500  0.500  0.000
Cu  0.250  0.750  0.500
B  0.875  0.744  0.750
B  0.494  0.125  0.250
B  0.256  0.625  0.250
B  0.375  0.506  0.750
Sb  0.000  0.000  0.000
Sb  0.750  0.250  0.500

---

Entry 2:
DFT (PBE) results for crystalline SrTl2ZnRh at its relaxed geometry.

ΔH_f (0 K)   -0.156 eV per atom
ρ   8.06 g/cm3
Uncorrected energy   -3.16 eV per atom
Symmetry   No. 123

Lattice parameters (Å, degrees): 5.260 5.260 4.948 90.00 90.00 90.00
Fractional positions:
Tl  0.000  0.500  0.000
Tl  0.500  0.000  0.000
Sr  0.500  0.500  0.500
Zn  0.000  0.000  0.500
Rh  0.000  0.000  0.000

---

Entry 3:
DFT (PBE) results for crystalline Tb3Ni9GeB2 at its relaxed geometry.

ΔH_f (0 K)   -0.427 eV per atom
ρ   8.62 g/cm3
Uncorrected energy   -6.02 eV per atom
Symmetry   No. 164

Lattice parameters (Å, degrees): 5.414 5.414 8.340 90.00 90.00 120.00
Fractional positions:
B  0.333  0.667  0.144
B  0.667  0.333  0.856
Ni  0.333  0.167  0.720
Ni  0.667  0.833  0.280
Ni  0.500  0.500  0.000
Ni  0.000  0.500  0.000
Ni  0.833  0.167  0.720
Ni  0.500  0.000  0.000
Ni  0.833  0.667  0.720
Ni  0.167  0.833  0.280
Ni  0.167  0.333  0.280
Ge  0.000  0.000  0.500
Tb  0.667  0.333  0.370
Tb  0.333  0.667  0.630
Tb  0.000  0.000  0.000

---

Entry 4:
DFT (PBE) results for crystalline ZnCl3 at its relaxed geometry.

Uncorrected formation energy   -0.525 eV/atom
ρ   2.13 g/cm3
Uncorrected energy   -2.23 eV per atom
Symmetry   No. 176

Lattice parameters (Å, degrees): 10.193 10.193 2.972 90.00 90.00 120.00
Site moments in Bohr magnetons follow the coordinates.
Fractional positions:
Cl  0.279  0.826  0.750  0.11
Cl  0.826  0.547  0.250  0.11
Cl  0.174  0.453  0.750  0.11
Cl  0.547  0.721  0.750  0.11
Cl  0.453  0.279  0.250  0.11
Cl  0.721  0.174  0.250  0.11
Zn  0.333  0.667  0.250  0.01
Zn  0.667  0.333  0.750  0.01

---

Entry 5:
DFT (PBE) results for crystalline Y4AuC2 at its relaxed geometry.

ΔH_f (0 K)   -0.401 eV per atom
ρ   6.51 g/cm3
Uncorrected energy   -7.20 eV per atom
Symmetry   No. 63

Lattice parameters (Å, degrees): 3.693 6.401 12.994 90.00 90.00 106.77
Site moments in Bohr magnetons follow the coordinates.
Fractional positions:
C  0.135  0.270  0.061  0.01
C  0.135  0.270  0.439  0.01
C  0.865  0.730  0.939  0.01
C  0.865  0.730  0.561  0.01
Y  0.500  0.000  0.500  0.11
Y  0.235  0.470  0.604  0.07
Y  0.926  0.852  0.750  0.07
Y  0.765  0.530  0.396  0.07
Y  0.765  0.530  0.104  0.07
Y  0.500  0.000  0.000  0.11
Y  0.235  0.470  0.896  0.07
Y  0.074  0.148  0.250  0.07
Au  0.387  0.775  0.250  0.05
Au  0.613  0.225  0.750  0.05

---

Entry 6:
DFT (PBE) results for crystalline NdAlTl2Te4 at its relaxed geometry.

Uncorrected formation energy   -0.626 eV/atom
ρ   6.72 g/cm3
Uncorrected energy   -3.85 eV per atom
Symmetry   No. 74

Lattice parameters (Å, degrees): 9.148 9.148 9.337 120.69 120.69 90.42
Fractional positions:
Nd  0.000  0.500  0.500
Nd  0.000  0.500  0.000
Al  0.500  0.500  0.500
Al  0.000  0.000  0.000
Tl  0.500  0.000  0.000
Tl  0.000  0.000  0.500
Tl  0.500  0.500  0.000
Tl  0.500  0.000  0.500
Te  0.737  0.286  0.512
Te  0.245  0.255  0.045
Te  0.786  0.237  0.012
Te  0.245  0.255  0.455
Te  0.263  0.714  0.488
Te  0.755  0.745  0.545
Te  0.214  0.763  0.988
Te  0.755  0.745  0.955

---

Entry 7:
DFT (PBE) results for crystalline Pr5Co2Te2 at its relaxed geometry.

Uncorrected formation energy   -0.607 eV/atom
ρ   7.02 g/cm3
Uncorrected energy   -5.54 eV per atom
Symmetry   No. 64

Lattice parameters (Å, degrees): 7.981 7.933 8.984 90.00 63.63 90.00
Fractional positions:
Co  0.136  0.366  0.000
Co  0.364  0.866  0.000
Co  0.864  0.634  0.000
Co  0.636  0.134  0.000
Pr  0.544  0.841  0.234
Pr  0.722  0.341  0.234
Pr  0.000  0.000  0.000
Pr  0.222  0.159  0.234
Pr  0.956  0.341  0.766
Pr  0.278  0.659  0.766
Pr  0.778  0.841  0.766
Pr  0.456  0.159  0.766
Pr  0.044  0.659  0.234
Pr  0.500  0.500  0.000
Te  0.792  0.000  0.415
Te  0.292  0.500  0.415
Te  0.708  0.500  0.585
Te  0.208  0.000  0.585

---

Entry 8:
DFT (PBE) results for crystalline Pa4Ga12Re at its relaxed geometry.

ΔH_f (0 K)   -0.391 eV per atom
ρ   10.05 g/cm3
Uncorrected energy   -5.49 eV per atom
Symmetry   No. 229

Lattice parameters (Å, degrees): 7.476 7.476 7.476 109.47 109.47 109.47
Fractional positions:
Ga  0.000  0.704  0.704
Ga  0.296  0.000  0.296
Ga  0.250  0.500  0.750
Ga  0.500  0.750  0.250
Ga  0.000  0.296  0.296
Ga  0.296  0.296  0.000
Ga  0.750  0.250  0.500
Ga  0.704  0.704  0.000
Ga  0.500  0.250  0.750
Ga  0.750  0.500  0.250
Ga  0.250  0.750  0.500
Ga  0.704  0.000  0.704
Pa  0.500  0.500  0.500
Pa  0.000  0.000  0.500
Pa  0.500  0.000  0.000
Pa  0.000  0.500  0.000
Re  0.000  0.000  0.000

---

Entry 9:
DFT (PBE) results for crystalline NbZn2OsCl at its relaxed geometry.

Uncorrected formation energy   1.264 eV/atom
ρ   8.39 g/cm3
Uncorrected energy   -3.87 eV per atom
Symmetry   No. 123

Lattice parameters (Å, degrees): 4.413 4.570 4.413 90.00 90.00 90.00
Fractional positions:
Nb  0.000  0.500  0.000
Os  0.500  0.500  0.500
Cl  0.000  0.000  0.000
Zn  0.500  0.000  0.000
Zn  0.000  0.000  0.500

---

Entry 10:
DFT (PBE) results for crystalline LiSc2HPb at its relaxed geometry.

ρ   5.86 g/cm3
Uncorrected energy   -4.73 eV per atom
Symmetry   No. 123

Lattice parameters (Å, degrees): 4.471 4.471 4.325 90.00 90.00 90.00
Site moments in Bohr magnetons follow the coordinates.
Fractional positions:
H  0.000  0.000  0.000  -0.01
Pb  0.500  0.500  0.500  -0.03
Li  0.000  0.000  0.500  0.01
Sc  0.000  0.500  0.000  0.42
Sc  0.500  0.000  0.000  0.42

---

Entry 11:
DFT (PBE) results for crystalline ReSiAu2 at its relaxed geometry.

Uncorrected formation energy   0.465 eV/atom
ρ   15.63 g/cm3
Uncorrected energy   -5.64 eV per atom
Symmetry   No. 10

Lattice parameters (Å, degrees): 4.477 2.833 5.303 73.89 90.00 90.00
Fractional positions:
Au  0.000  0.633  0.510
Au  0.000  0.867  0.990
Si  0.500  0.750  0.750
Re  0.500  0.250  0.250

---

Entry 12:
DFT (PBE) results for crystalline LiNbBr6 at its relaxed geometry.

Uncorrected formation energy   -0.980 eV/atom
ρ   3.52 g/cm3
Uncorrected energy   -3.73 eV per atom
Symmetry   No. 12

Lattice parameters (Å, degrees): 6.828 7.465 7.251 104.96 100.96 123.04
Fractional positions:
Br  0.141  0.884  0.285
Br  0.440  0.721  0.000
Br  0.560  0.279  0.000
Br  0.144  0.400  0.285
Br  0.859  0.116  0.715
Br  0.856  0.600  0.715
Li  0.000  0.000  0.000
Nb  0.000  0.500  0.000